VASP calculation (GGA-PBE) on a relaxed structure of TmSeCl.

Unit cell a=7.341 b=7.341 c=7.341 alpha=152.47 beta=152.47 gamma=39.33
Sites, in units of the cell vectors:
Tm  0.000  0.000  0.000
Se  0.397  0.397  0.000
Cl  0.629  0.629  0.000

Computed properties:
Uncorrected energy ... -4.92 eV per atom
Calculated density ... 5.6 g/cm3
M_tot ... 0.000 μB/f.u.